Density functional theory data (PBE with a Hubbard U) for a relaxed structure of Li2Mn3GaO8.

Structure (POSCAR):
```
Li2Mn3GaO8
1.0
5.902 0.000 0.000
0.000 5.993 0.000
-5.872 0.000 8.299
Li Mn Ga O
4 6 2 16
direct
0.114 0.249 0.126 Li
0.114 0.751 0.626 Li
0.886 0.249 0.374 Li
0.886 0.751 0.874 Li
0.000 0.263 0.750 Mn
0.000 0.737 0.250 Mn
0.500 0.000 0.000 Mn
0.500 0.000 0.500 Mn
0.500 0.500 0.000 Mn
0.500 0.500 0.500 Mn
0.500 0.253 0.750 Ga
0.500 0.747 0.250 Ga
0.242 0.279 0.983 O
0.242 0.721 0.483 O
0.248 0.038 0.759 O
0.248 0.962 0.259 O
0.263 0.481 0.766 O
0.263 0.519 0.266 O
0.296 0.251 0.509 O
0.296 0.749 0.009 O
0.704 0.251 0.991 O
0.704 0.749 0.491 O
0.737 0.481 0.734 O
0.737 0.519 0.234 O
0.752 0.038 0.741 O
0.752 0.962 0.241 O
0.758 0.279 0.517 O
0.758 0.721 0.017 O
```

electronic total energy = -6.6348 eV/atom
relative energy among the computed polymorphs = 0 meV per atom


Density functional theory data (PBE with a Hubbard U) for a relaxed structure of LiMnGaO2.

Structure (POSCAR):
```
LiMnGaO2
1.0
3.962 0.000 0.000
0.000 3.962 0.000
0.000 0.000 3.933
Li Mn Ga O
1 1 1 2
direct
0.000 0.000 0.000 Li
0.500 0.500 0.500 Mn
0.000 0.000 0.500 Ga
0.000 0.500 0.000 O
0.500 0.000 0.000 O
```

electronic total energy = -4.6240 eV/atom


Density functional theory data (PBE with a Hubbard U) for a relaxed structure of Li2MnGa2O6.

Structure (POSCAR):
```
Li2MnGa2O6
1.0
2.555 -4.383 0.000
2.555 4.383 0.000
-1.622 0.000 4.940
Li Mn Ga O
2 1 2 6
direct
0.164 0.836 0.000 Li
0.836 0.164 0.000 Li
0.000 0.000 0.500 Mn
0.335 0.665 0.500 Ga
0.665 0.335 0.500 Ga
0.058 0.389 0.715 O
0.250 0.250 0.290 O
0.389 0.058 0.715 O
0.611 0.942 0.285 O
0.750 0.750 0.710 O
0.942 0.611 0.285 O
```

electronic total energy = -6.0697 eV/atom


Density functional theory data (PBE with a Hubbard U) for a relaxed structure of LiMn2GaO6.

Structure (POSCAR):
```
LiMn2GaO6
1.0
2.496 1.441 4.477
-2.496 1.441 4.477
0.000 -2.883 4.477
Li Mn Ga O
1 2 1 6
direct
0.000 0.000 0.000 Li
0.210 0.210 0.210 Mn
0.709 0.709 0.709 Mn
0.504 0.504 0.504 Ga
0.098 0.433 0.813 O
0.328 0.923 0.583 O
0.433 0.813 0.098 O
0.583 0.328 0.923 O
0.813 0.098 0.433 O
0.923 0.583 0.328 O
```

electronic total energy = -6.5173 eV/atom


Density functional theory data (PBE with a Hubbard U) for a relaxed structure of Li2Mn3GaO8.

Structure (POSCAR):
```
Li2Mn3GaO8
1.0
5.141 -2.913 0.000
5.141 2.913 0.000
-3.232 0.000 4.909
Li Mn Ga O
2 3 1 8
direct
0.113 0.113 0.367 Li
0.887 0.887 0.633 Li
0.000 0.500 0.000 Mn
0.500 0.000 0.000 Mn
0.500 0.500 0.500 Mn
0.500 0.500 0.000 Ga
0.243 0.243 0.210 O
0.250 0.704 0.232 O
0.262 0.262 0.788 O
0.296 0.750 0.768 O
0.704 0.250 0.232 O
0.738 0.738 0.212 O
0.750 0.296 0.768 O
0.757 0.757 0.790 O
```

electronic total energy = -6.6340 eV/atom
relative energy among the computed polymorphs = 1 meV per atom


Density functional theory data (PBE with a Hubbard U) for a relaxed structure of Sr4LiMn2Ga2O10.

Structure (POSCAR):
```
Sr4LiMn2Ga2O10
1.0
5.546 0.000 0.000
-0.019 5.854 0.000
-2.763 -2.912 8.198
Sr Li Mn Ga O
4 1 2 2 10
direct
0.000 0.000 0.000 Sr
0.201 0.246 0.417 Sr
0.481 0.517 0.963 Sr
0.683 0.689 0.385 Sr
0.953 0.658 0.708 Li
0.089 0.612 0.195 Mn
0.593 0.116 0.202 Mn
0.371 0.903 0.674 Ga
0.887 0.240 0.694 Ga
0.209 0.694 0.465 O
0.233 0.203 0.690 O
0.311 0.820 0.838 O
0.342 0.345 0.176 O
0.352 0.884 0.211 O
0.733 0.945 0.692 O
0.751 0.337 0.511 O
0.822 0.337 0.174 O
0.831 0.874 0.197 O
0.912 0.502 0.880 O
```

electronic total energy = -6.4075 eV/atom
relative energy among the computed polymorphs = 12 meV per atom


Density functional theory data (PBE with a Hubbard U) for a relaxed structure of Sr4LiMn2Ga2O10.

Structure (POSCAR):
```
Sr4LiMn2Ga2O10
1.0
0.000 4.083 8.116
4.015 0.000 8.116
4.015 4.083 0.000
Sr Li Mn Ga O
4 1 2 2 10
direct
0.089 0.620 0.380 Sr
0.380 0.911 0.089 Sr
0.620 0.089 0.911 Sr
0.911 0.380 0.620 Sr
0.000 0.000 0.000 Li
0.000 0.500 0.000 Mn
0.500 0.000 0.500 Mn
0.326 0.674 0.674 Ga
0.674 0.326 0.326 Ga
0.101 0.713 0.899 O
0.250 0.250 0.250 O
0.263 0.263 0.737 O
0.287 0.899 0.713 O
0.336 0.664 0.336 O
0.664 0.336 0.664 O
0.713 0.101 0.287 O
0.737 0.737 0.263 O
0.750 0.750 0.750 O
0.899 0.287 0.101 O
```

electronic total energy = -6.4195 eV/atom
relative energy among the computed polymorphs = 0 meV per atom


Density functional theory data (PBE with a Hubbard U) for a relaxed structure of Sr4LiMn2Ga2O10.

Structure (POSCAR):
```
Sr4LiMn2Ga2O10
1.0
0.000 4.333 7.925
3.956 0.000 7.925
3.956 4.333 0.000
Sr Li Mn Ga O
4 1 2 2 10
direct
0.199 0.801 0.199 Sr
0.489 0.942 0.058 Sr
0.801 0.199 0.801 Sr
0.942 0.489 0.511 Sr
0.477 0.477 0.523 Li
0.366 0.863 0.634 Mn
0.863 0.366 0.137 Mn
0.169 0.535 0.831 Ga
0.535 0.169 0.465 Ga
0.109 0.109 0.391 O
0.119 0.119 0.881 O
0.184 0.733 0.816 O
0.209 0.514 0.486 O
0.514 0.209 0.791 O
0.548 0.958 0.452 O
0.593 0.593 0.407 O
0.609 0.609 0.891 O
0.733 0.184 0.267 O
0.958 0.548 0.042 O
```

electronic total energy = -6.3601 eV/atom
relative energy among the computed polymorphs = 59 meV per atom


Density functional theory data (PBE with a Hubbard U) for a relaxed structure of Sr4LiMn2Ga2O10.

Structure (POSCAR):
```
Sr4LiMn2Ga2O10
1.0
5.677 0.000 0.000
0.020 5.933 0.000
2.739 2.771 8.226
Sr Li Mn Ga O
4 1 2 2 10
direct
0.000 0.000 0.000 Sr
0.138 0.331 0.553 Sr
0.402 0.557 0.994 Sr
0.697 0.883 0.546 Sr
0.914 0.429 0.926 Li
0.098 0.768 0.712 Mn
0.556 0.225 0.769 Mn
0.389 0.901 0.266 Ga
0.708 0.536 0.286 Ga
0.188 0.921 0.465 O
0.254 0.425 0.786 O
0.344 0.950 0.773 O
0.374 0.572 0.270 O
0.388 0.105 0.069 O
0.708 0.331 0.482 O
0.721 0.868 0.279 O
0.771 0.503 0.760 O
0.831 0.011 0.769 O
0.921 0.551 0.084 O
```

electronic total energy = -6.3301 eV/atom
relative energy among the computed polymorphs = 89 meV per atom


Density functional theory data (PBE with a Hubbard U) for a relaxed structure of Sr4LiMn2Ga2O10.

Structure (POSCAR):
```
Sr4LiMn2Ga2O10
1.0
4.016 -8.229 0.000
4.016 8.229 0.000
-3.982 0.000 4.059
Sr Li Mn Ga O
4 1 2 2 10
direct
0.080 0.374 0.470 Sr
0.374 0.080 0.470 Sr
0.626 0.920 0.530 Sr
0.920 0.626 0.530 Sr
0.500 0.500 0.500 Li
0.000 0.500 0.000 Mn
0.500 0.000 0.000 Mn
0.290 0.290 0.923 Ga
0.710 0.710 0.077 Ga
0.107 0.305 0.958 O
0.254 0.746 0.000 O
0.256 0.744 0.500 O
0.305 0.107 0.958 O
0.362 0.362 0.664 O
0.638 0.638 0.336 O
0.695 0.893 0.042 O
0.744 0.256 0.500 O
0.746 0.254 0.000 O
0.893 0.695 0.042 O
```

electronic total energy = -6.3602 eV/atom
relative energy among the computed polymorphs = 59 meV per atom


Density functional theory data (PBE with a Hubbard U) for a relaxed structure of Sr4LiMn2Ga2O10.

Structure (POSCAR):
```
Sr4LiMn2Ga2O10
1.0
5.592 0.000 0.000
-0.186 5.809 0.000
-2.647 -2.893 8.627
Sr Li Mn Ga O
4 1 2 2 10
direct
0.112 0.117 0.207 Sr
0.268 0.409 0.709 Sr
0.732 0.591 0.291 Sr
0.888 0.883 0.793 Sr
0.500 0.500 0.000 Li
0.000 0.500 0.000 Mn
0.500 0.000 0.000 Mn
0.352 0.815 0.513 Ga
0.648 0.185 0.487 Ga
0.178 0.574 0.335 O
0.228 0.254 0.968 O
0.238 0.729 0.983 O
0.297 0.121 0.478 O
0.359 0.824 0.711 O
0.641 0.176 0.289 O
0.703 0.879 0.522 O
0.762 0.271 0.017 O
0.772 0.746 0.032 O
0.822 0.426 0.665 O
```

electronic total energy = -6.3376 eV/atom
relative energy among the computed polymorphs = 82 meV per atom


Number 1: density 4.3 g cm⁻³. Number 2: density 4.4 g cm⁻³. Number 3: density 4.6 g cm⁻³. Number 4: density 4.9 g cm⁻³. Number 5: density 4.3 g cm⁻³. Number 6: density 4.8 g cm⁻³. Number 7: density 4.8 g cm⁻³. Number 8: density 4.7 g cm⁻³. Number 9: density 4.6 g cm⁻³. Number 10: density 4.7 g cm⁻³. Number 11: density 4.5 g cm⁻³.